Here is an optimized crystal structure of KRb2TiBr6 from Alexandria. Energies are from PBE.

Its uncorrected formation energy is -1.51 eV/atom. The polymorph energy (0 for the lowest one) is 0 meV/atom.

It has space group Pmmn (No. 59, origin choice 2), with a = 7.716 Å, b = 11.478 Å, c = 8.744 Å, α = 90.00°, β = 90.00° and γ = 90.00°. The asymmetric unit holds K at (0.250, 0.250, 0.201), Rb at (0.250, 0.036, 0.689), Ti at (0.250, 0.750, 0.292), Br at (0.008, 0.750, 0.087), Br at (0.017, 0.750, 0.510) and Br at (0.250, 0.523, 0.291).

=====

Here is an optimized crystal structure of MgCrSi2 from Alexandria. Energies are from PBE.

Its uncorrected formation energy is 0.02 eV/atom.

It has space group R-3m (No. 166, hexagonal axes), with a = 2.9515 Å, b = 2.9515 Å, c = 23.8588 Å, α = 90.00°, β = 90.00° and γ = 120.00°. The asymmetric unit holds Mg at (0.0000, 0.0000, 0.0000), Cr at (0.0000, 0.0000, 0.5000) and Si at (0.0000, 0.0000, 0.2380).

=====

Here is an optimized crystal structure of Dy2Mg3Cd3 from Alexandria. Energies are from PBE.

The formation energy is -258 meV per atom.

It has space group R3m (No. 160, hexagonal axes), with a = 5.1010 Å, b = 5.1010 Å, c = 25.0413 Å, α = 90.00°, β = 90.00° and γ = 120.00°. The asymmetric unit holds Dy at (0.0000, 0.0000, 0.0000), Dy at (0.0000, 0.0000, 0.4948), Mg at (0.0000, 0.0000, 0.2484), Mg at (0.0000, 0.0000, 0.7469), Mg at (0.0000, 0.0000, 0.8734), Cd at (0.0000, 0.0000, 0.1257), Cd at (0.0000, 0.0000, 0.3716) and Cd at (0.0000, 0.0000, 0.6191).

=====

Here is an optimized crystal structure of PrSmYSc from Alexandria. Energies are from PBE.

The formation energy is 102 meV per atom.

It has space group F-43m (No. 216), with a = 7.968 Å, b = 7.968 Å, c = 7.968 Å, α = 90.00°, β = 90.00° and γ = 90.00°. The asymmetric unit holds Pr at (0.000, 0.000, 0.000), Sm at (0.000, 0.000, 0.500), Y at (0.250, 0.250, 0.750) and Sc at (0.250, 0.250, 0.250).

=====

Here is an optimized crystal structure of TaNiIN2 from Alexandria. Energies are from PBE.

Its uncorrected formation energy is 0.58 eV/atom. The polymorph energy (0 for the lowest one) is 0 meV/atom.

It has space group P4/mmm (No. 123), with a = 3.966 Å, b = 3.966 Å, c = 5.968 Å, α = 90.00°, β = 90.00° and γ = 90.00°. The asymmetric unit holds Ta at (0.000, 0.000, 0.000), Ni at (0.500, 0.500, 0.500), I at (0.000, 0.000, 0.500) and N at (0.000, 0.500, 0.000).

=====

Here is an optimized crystal structure of Na2YPaS4 from Alexandria. Energies are from PBE.

Its uncorrected formation energy is -1.62 eV/atom.

It has space group P2/m (No. 10), with a = 6.898 Å, b = 3.935 Å, c = 7.137 Å, α = 90.00°, β = 108.43° and γ = 90.00°. The asymmetric unit holds Na at (0.000, 0.000, 0.000), Na at (0.500, 0.500, 0.000), Y at (0.000, 0.500, 0.500), Pa at (0.500, 0.000, 0.500), S at (0.245, 0.000, 0.730) and S at (0.254, 0.500, 0.267).

=====

Here is an optimized crystal structure of Cs12I5Br3 from Alexandria. Energies are from PBE.

Its uncorrected formation energy is -1.14 eV/atom.

It has space group Ia-3d (No. 230), with a = 22.705 Å, b = 22.705 Å, c = 22.705 Å, α = 90.00°, β = 90.00° and γ = 90.00°. The asymmetric unit holds Cs at (0.022, 0.082, 0.650), I at (0.000, 0.000, 0.000), I at (0.000, 0.250, 0.375) and Br at (0.000, 0.250, 0.125).

=====

Here is an optimized crystal structure of Sc11Tl9Ir4 from Alexandria. Energies are from PBE.

The formation energy is -495 meV per atom.

It has space group Cmmm (No. 65), with a = 14.161 Å, b = 21.132 Å, c = 3.479 Å, α = 90.00°, β = 90.00° and γ = 90.00°. The asymmetric unit holds Sc at (0.000, 0.000, 0.000), Sc at (0.000, 0.161, 0.000), Sc at (0.000, 0.373, 0.000), Sc at (0.188, 0.500, 0.000), Sc at (0.249, 0.333, 0.000), Tl at (0.000, 0.500, 0.500), Tl at (0.110, 0.257, 0.500), Tl at (0.141, 0.074, 0.500) and Ir at (0.151, 0.399, 0.500).

=====

Here is an optimized crystal structure of Sc2SiPb from Alexandria. Energies are from PBE.

Its uncorrected formation energy is -0.35 eV/atom. The polymorph energy (0 for the lowest one) is 91 meV/atom.

It has space group Pmmm (No. 47), with a = 3.190 Å, b = 3.988 Å, c = 6.654 Å, α = 90.00°, β = 90.00° and γ = 90.00°. The asymmetric unit holds Sc at (0.000, 0.000, 0.222), Si at (0.500, 0.500, 0.000) and Pb at (0.500, 0.500, 0.500).

=====

Here is an optimized crystal structure of AcLaThTl from Alexandria. Energies are from PBE.

The formation energy is 71 meV per atom.

It has space group F-43m (No. 216), with a = 8.138 Å, b = 8.138 Å, c = 8.138 Å, α = 90.00°, β = 90.00° and γ = 90.00°. The asymmetric unit holds Ac at (0.000, 0.000, 0.000), La at (0.250, 0.250, 0.250), Th at (0.250, 0.250, 0.750) and Tl at (0.000, 0.000, 0.500).

=====

Here is an optimized crystal structure of YThMgHg from Alexandria. Energies are from PBE.

The formation energy is -137 meV per atom.

It has space group F-43m (No. 216), with a = 7.602 Å, b = 7.602 Å, c = 7.602 Å, α = 90.00°, β = 90.00° and γ = 90.00°. The asymmetric unit holds Y at (0.000, 0.000, 0.000), Th at (0.000, 0.000, 0.500), Mg at (0.250, 0.250, 0.750) and Hg at (0.250, 0.250, 0.250).

=====

Here is an optimized crystal structure of Ac4AgIr2Pd from Alexandria. Energies are from PBE.

The formation energy is -454 meV per atom.

It has space group Cmcm (No. 63), with a = 4.408 Å, b = 13.331 Å, c = 17.347 Å, α = 90.00°, β = 90.00° and γ = 90.00°. The asymmetric unit holds Ac at (0.000, 0.000, 0.000), Ac at (0.000, 0.278, 0.090), Ac at (0.000, 0.420, 0.750), Ag at (0.000, 0.126, 0.750), Ir at (0.000, 0.372, 0.567) and Pd at (0.000, 0.242, 0.250).

=====

| no. | V (Å³/cell) | density of states at the Fermi level (states/eV per atom) |
| --- | --- | --- |
| 1 | 774 | 0.680 |
| 2 | 180 | 0.381 |
| 3 | 564 | 0.355 |
| 4 | 506 | 1.576 |
| 5 | 94 | 1.151 |
| 6 | 184 | 0.774 |
| 7 | 11705 | 0.370 |
| 8 | 1041 | 0.537 |
| 9 | 85 | 0.991 |
| 10 | 539 | 1.626 |
| 11 | 439 | 1.187 |
| 12 | 1019 | 0.499 |